Material: Cs3NaC
Method: DFT, GGA-PBEsol
State: optimized geometry

Lattice parameters (Å, degrees): 6.478 6.478 6.478 90.00 90.00 90.00
Each line ends with the local moment (μB).
Sites, in units of the cell vectors:
Na (0.500, 0.500, 0.500)  0.00
Cs (0.500, 0.000, 0.000)  0.03
Cs (0.000, 0.000, 0.500)  0.03
Cs (0.000, 0.500, 0.000)  0.03
C (0.000, 0.000, 0.000)  0.95

Properties
The calculation puts the formation energy at 0.870 eV per atom. As for the volume: 272 Å³/cell. Its size of the total moment is 2.08 μB/f.u. Its space group is Pm-3m, No. 221.